No. 1
{"formula": "LaHoZnIn", "functional": "PBE-GGA", "state": "relaxed", "lattice_angstrom": [[3.714, 0.000, 0.000], [0.000, 3.714, 0.000], [0.000, 0.000, 7.680]], "species": ["La", "Ho", "Zn", "In"], "fractional_positions": [[0.500, 0.500, 0.124], [0.500, 0.500, 0.585], [0.000, 0.000, 0.385], [0.000, 0.000, 0.834]], "n_ef_per_ev_cell": 3.7, "formation_enthalpy_0k_mev_per_atom": -413, "crystal_system": "tetragonal", "e_above_lowest_polymorph_mev_per_atom": 0.0, "mass_density_g_cm3": 7.589, "dft_energy_ev_per_fu": -15.17}

=====

No. 2
{"formula": "LiHo6In", "functional": "PBE-GGA", "state": "relaxed", "lattice_angstrom": [[-4.569, 1.204, -7.305], [0.814, -5.574, -6.621], [-3.873, -3.398, -3.322]], "species": ["Li", "Ho", "Ho", "Ho", "Ho", "Ho", "Ho", "In"], "fractional_positions": [[0.000, 0.000, 0.000], [0.978, 0.487, 0.789], [0.745, 0.978, 0.788], [0.513, 0.255, 0.210], [0.255, 0.022, 0.212], [0.022, 0.513, 0.211], [0.487, 0.745, 0.790], [0.500, 0.500, 0.500]], "n_ef_per_ev_cell": 8.7, "formation_enthalpy_0k_mev_per_atom": 13, "crystal_system": "triclinic", "mass_density_g_cm3": 8.015, "dft_energy_ev_per_fu": -32.01}

=====

No. 3
{"formula": "LiHoIn", "functional": "PBE-GGA", "state": "relaxed", "lattice_angstrom": [[4.267, 0.000, 0.000], [0.000, 3.636, 0.000], [-2.134, 0.000, 10.027]], "species": ["Li", "Li", "Ho", "Ho", "In", "In"], "fractional_positions": [[0.441, 0.750, 0.882], [0.559, 0.250, 0.118], [0.805, 0.750, 0.610], [0.195, 0.250, 0.390], [0.940, 0.250, 0.879], [0.060, 0.750, 0.121]], "n_ef_per_ev_cell": 4.8, "formation_enthalpy_0k_mev_per_atom": -27, "crystal_system": "orthorhombic", "mass_density_g_cm3": 6.119, "dft_energy_ev_per_fu": -9.31}

=====

No. 4
{"formula": "Li4Ho3In4", "functional": "PBE-GGA", "state": "relaxed", "lattice_angstrom": [[-2.231, 0.629, 2.496], [-2.677, -3.848, -1.423], [5.522, -10.634, 9.947]], "species": ["Li", "Li", "Li", "Li", "Ho", "Ho", "Ho", "In", "In", "In", "In"], "fractional_positions": [[0.593, 0.092, 0.815], [0.261, 0.261, 0.478], [0.739, 0.739, 0.522], [0.407, 0.908, 0.185], [0.143, 0.643, 0.715], [0.857, 0.357, 0.285], [0.000, 0.000, 0.000], [0.550, 0.550, 0.900], [0.450, 0.450, 0.100], [0.316, 0.817, 0.366], [0.684, 0.183, 0.634]], "n_ef_per_ev_cell": 5.5, "formation_enthalpy_0k_mev_per_atom": -329, "crystal_system": "triclinic", "mass_density_g_cm3": 6.392, "dft_energy_ev_per_fu": -35.96}

=====

No. 5
{"formula": "LiHo6In2", "functional": "PBE-GGA", "state": "relaxed", "lattice_angstrom": [[-4.887, -0.905, -0.990], [1.077, -7.141, 1.212], [0.232, 5.031, 7.312]], "species": ["Li", "Ho", "Ho", "Ho", "Ho", "Ho", "Ho", "In", "In"], "fractional_positions": [[0.000, 0.000, 0.000], [0.164, 0.410, 0.328], [0.836, 0.082, 0.672], [0.836, 0.590, 0.672], [0.500, 0.246, 0.000], [0.164, 0.918, 0.328], [0.500, 0.754, 0.000], [0.666, 0.667, 0.334], [0.334, 0.333, 0.666]], "n_ef_per_ev_cell": 11.5, "formation_enthalpy_0k_mev_per_atom": 123, "crystal_system": "monoclinic", "mass_density_g_cm3": 7.147, "dft_energy_ev_per_fu": -33.75}

=====

No. 6
{"formula": "LiHo5In4", "functional": "PBE-GGA", "state": "relaxed", "lattice_angstrom": [[-0.777, 2.688, -2.246], [2.143, -1.456, -2.483], [-15.521, -10.523, -7.222]], "species": ["Li", "Ho", "Ho", "Ho", "Ho", "Ho", "In", "In", "In", "In"], "fractional_positions": [[0.000, 0.000, 0.000], [0.500, 0.500, 0.094], [0.500, 0.500, 0.295], [0.500, 0.500, 0.500], [0.500, 0.500, 0.705], [0.500, 0.500, 0.906], [0.000, 0.000, 0.192], [0.000, 0.000, 0.397], [0.000, 0.000, 0.603], [0.000, 0.000, 0.808]], "n_ef_per_ev_cell": 6.0, "formation_enthalpy_0k_mev_per_atom": -356, "crystal_system": "tetragonal", "mass_density_g_cm3": 8.284, "dft_energy_ev_per_fu": -39.31}

=====

No. 7
{"formula": "Li6HoIn6", "functional": "PBE-GGA", "state": "relaxed", "lattice_angstrom": [[5.737, 0.000, 0.000], [2.869, 6.767, -0.124], [2.869, 0.038, 6.768]], "species": ["Li", "Li", "Li", "Li", "Li", "Li", "Ho", "In", "In", "In", "In", "In", "In"], "fractional_positions": [[0.000, 0.500, 0.000], [0.500, 0.500, 0.000], [0.000, 0.000, 0.500], [0.500, 0.000, 0.500], [0.500, 0.769, 0.231], [0.500, 0.231, 0.769], [0.000, 0.000, 0.000], [0.343, 0.657, 0.657], [0.657, 0.343, 0.343], [0.000, 0.340, 0.660], [0.000, 0.660, 0.340], [0.308, 0.192, 0.192], [0.692, 0.808, 0.808]], "n_ef_per_ev_cell": 4.7, "formation_enthalpy_0k_mev_per_atom": -290, "crystal_system": "orthorhombic", "mass_density_g_cm3": 5.659, "dft_energy_ev_per_fu": -36.26}

=====

No. 8
{"formula": "Li2Ho3In6", "functional": "PBE-GGA", "state": "relaxed", "lattice_angstrom": [[4.533, 0.000, 0.000], [0.000, 4.533, 0.000], [-2.266, -2.266, 12.835]], "species": ["Li", "Li", "Ho", "Ho", "Ho", "In", "In", "In", "In", "In", "In"], "fractional_positions": [[0.455, 0.455, 0.911], [0.545, 0.545, 0.089], [0.000, 0.000, 0.000], [0.805, 0.805, 0.610], [0.195, 0.195, 0.390], [0.099, 0.599, 0.198], [0.599, 0.099, 0.198], [0.901, 0.401, 0.802], [0.401, 0.901, 0.802], [0.685, 0.685, 0.370], [0.315, 0.315, 0.630]], "n_ef_per_ev_cell": 5.1, "formation_enthalpy_0k_mev_per_atom": -291, "crystal_system": "tetragonal", "mass_density_g_cm3": 7.540, "dft_energy_ev_per_fu": -37.19}

=====

No. 9
{"formula": "Li2Ho3In4", "functional": "PBE-GGA", "state": "relaxed", "lattice_angstrom": [[4.886, 0.000, 0.000], [-2.443, 5.393, -0.753], [0.000, -3.314, 8.670]], "species": ["Li", "Li", "Ho", "Ho", "Ho", "In", "In", "In", "In"], "fractional_positions": [[0.613, 0.225, 0.284], [0.387, 0.775, 0.716], [0.665, 0.330, 0.660], [0.000, 0.000, 0.000], [0.335, 0.670, 0.340], [0.732, 0.464, 0.079], [0.268, 0.536, 0.921], [0.948, 0.897, 0.623], [0.052, 0.103, 0.377]], "n_ef_per_ev_cell": 3.6, "formation_enthalpy_0k_mev_per_atom": -396, "crystal_system": "monoclinic", "mass_density_g_cm3": 7.432, "dft_energy_ev_per_fu": -32.08}

=====

No. 10
{"formula": "LiHo6In5", "functional": "PBE-GGA", "state": "relaxed", "lattice_angstrom": [[5.026, -0.030, 1.675], [0.040, 7.384, 0.013], [-0.008, -0.015, 8.404]], "species": ["In", "In", "In", "In", "In", "Ho", "Ho", "Ho", "Ho", "Ho", "Ho", "Li"], "fractional_positions": [[0.667, 0.500, 0.666], [0.342, 0.000, 0.317], [0.000, 0.500, 0.000], [0.658, 0.000, 0.683], [0.333, 0.500, 0.334], [0.833, 0.753, 0.335], [0.833, 0.247, 0.335], [0.500, 0.252, 0.000], [0.500, 0.748, 0.000], [0.167, 0.753, 0.665], [0.167, 0.247, 0.665], [0.000, 0.000, 0.000]], "n_ef_per_ev_cell": 7.9, "formation_enthalpy_0k_mev_per_atom": -411, "crystal_system": "orthorhombic", "mass_density_g_cm3": 8.358, "dft_energy_ev_per_fu": -48.00}

=====

No. 11
{"formula": "LiHo4In2", "functional": "PBE-GGA", "state": "relaxed", "lattice_angstrom": [[-3.314, 0.945, 3.928], [-1.971, -3.970, 2.767], [4.656, -0.505, 7.525]], "species": ["Li", "Ho", "Ho", "Ho", "Ho", "In", "In"], "fractional_positions": [[0.000, 0.000, 0.000], [0.870, 0.870, 0.390], [0.130, 0.130, 0.610], [0.617, 0.617, 0.150], [0.383, 0.383, 0.850], [0.744, 0.744, 0.768], [0.256, 0.256, 0.232]], "n_ef_per_ev_cell": 7.9, "formation_enthalpy_0k_mev_per_atom": -194, "crystal_system": "trigonal", "e_above_lowest_polymorph_mev_per_atom": 0.0, "mass_density_g_cm3": 7.553, "dft_energy_ev_per_fu": -27.06}

=====

No. 12
{"formula": "Li2Ho2In", "functional": "PBE-GGA", "state": "relaxed", "lattice_angstrom": [[5.809, 0.000, 1.755], [2.581, 4.780, 1.948], [0.488, 0.739, 8.880]], "species": ["Li", "Li", "Li", "Li", "Ho", "Ho", "Ho", "Ho", "In", "In"], "fractional_positions": [[0.250, 0.239, 0.509], [0.998, 0.261, 0.991], [0.750, 0.761, 0.491], [0.002, 0.739, 0.009], [0.525, 0.840, 0.850], [0.784, 0.340, 0.350], [0.475, 0.160, 0.150], [0.216, 0.660, 0.650], [0.187, 0.750, 0.250], [0.813, 0.250, 0.750]], "n_ef_per_ev_cell": 9.9, "formation_enthalpy_0k_mev_per_atom": -107, "crystal_system": "monoclinic", "mass_density_g_cm3": 6.412, "dft_energy_ev_per_fu": -16.26}

=====

No. 13
{"formula": "Li3HoIn2", "functional": "PBE-GGA", "state": "relaxed", "lattice_angstrom": [[4.450, 0.000, 1.185], [1.769, 6.863, 2.304], [0.106, 0.331, 8.553]], "species": ["Li", "Li", "Li", "Li", "Li", "Li", "Ho", "Ho", "In", "In", "In", "In"], "fractional_positions": [[0.740, 0.090, 0.430], [0.047, 0.291, 0.615], [0.411, 0.490, 0.688], [0.589, 0.510, 0.312], [0.953, 0.709, 0.385], [0.260, 0.910, 0.570], [0.135, 0.739, 0.992], [0.865, 0.261, 0.008], [0.562, 0.074, 0.802], [0.438, 0.926, 0.198], [0.210, 0.318, 0.263], [0.790, 0.682, 0.737]], "n_ef_per_ev_cell": 6.2, "formation_enthalpy_0k_mev_per_atom": -293, "crystal_system": "monoclinic", "mass_density_g_cm3": 5.354, "dft_energy_ev_per_fu": -17.56}

=====

No. 14
{"formula": "Li3HoIn3", "functional": "PBE-GGA", "state": "relaxed", "lattice_angstrom": [[-6.039, -0.625, -3.593], [3.607, 0.004, -6.063], [0.539, -7.027, 0.316]], "species": ["Li", "Li", "Li", "Li", "Li", "Li", "Ho", "Ho", "In", "In", "In", "In", "In", "In"], "fractional_positions": [[0.000, 0.250, 0.500], [0.000, 0.750, 0.500], [0.500, 0.000, 0.750], [0.750, 0.500, 0.000], [0.500, 0.000, 0.250], [0.250, 0.500, 0.000], [0.500, 0.500, 0.500], [0.000, 0.000, 0.000], [0.250, 0.000, 0.500], [0.000, 0.500, 0.250], [0.500, 0.750, 0.000], [0.750, 0.000, 0.500], [0.000, 0.500, 0.750], [0.500, 0.250, 0.000]], "n_ef_per_ev_cell": 6.9, "formation_enthalpy_0k_mev_per_atom": 252, "crystal_system": "cubic", "mass_density_g_cm3": 5.015, "dft_energy_ev_per_fu": -16.77}

=====

No. 15
{"formula": "LiHo2In8", "functional": "PBE-GGA", "state": "relaxed", "lattice_angstrom": [[-3.731, 0.212, 2.814], [-0.573, -4.624, -0.411], [7.231, -1.760, 9.719]], "species": ["Li", "Ho", "Ho", "In", "In", "In", "In", "In", "In", "In", "In"], "fractional_positions": [[0.000, 0.000, 0.000], [0.000, 0.000, 0.313], [0.000, 0.000, 0.687], [0.000, 0.500, 0.500], [0.500, 0.000, 0.500], [0.500, 0.500, 0.310], [0.500, 0.500, 0.690], [0.000, 0.500, 0.128], [0.500, 0.000, 0.128], [0.000, 0.500, 0.872], [0.500, 0.000, 0.872]], "n_ef_per_ev_cell": 4.1, "formation_enthalpy_0k_mev_per_atom": -321, "crystal_system": "tetragonal", "mass_density_g_cm3": 7.782, "dft_energy_ev_per_fu": -36.51}

=====

No. 16
{"formula": "LiHo2In", "functional": "PBE-GGA", "state": "relaxed", "lattice_angstrom": [[3.374, 0.000, 0.000], [1.687, 2.922, 0.000], [1.687, 0.974, 11.668]], "species": ["Li", "Ho", "Ho", "In"], "fractional_positions": [[0.500, 0.500, 0.500], [0.091, 0.091, 0.728], [0.909, 0.909, 0.272], [0.000, 0.000, 0.000]], "n_ef_per_ev_cell": 3.8, "formation_enthalpy_0k_mev_per_atom": 213, "crystal_system": "trigonal", "mass_density_g_cm3": 6.518, "dft_energy_ev_per_fu": -12.96}

=====

No. 17
{"formula": "LiHoIn", "functional": "PBE-GGA", "state": "relaxed", "lattice_angstrom": [[-1.718, -0.068, 2.883], [0.721, -3.259, 0.353], [11.117, 4.706, 4.781]], "species": ["Li", "Li", "Ho", "Ho", "In", "In"], "fractional_positions": [[0.281, 0.281, 0.562], [0.719, 0.719, 0.438], [0.567, 0.567, 0.134], [0.433, 0.433, 0.866], [0.154, 0.154, 0.308], [0.846, 0.846, 0.692]], "n_ef_per_ev_cell": 4.4, "formation_enthalpy_0k_mev_per_atom": -149, "crystal_system": "tetragonal", "mass_density_g_cm3": 6.619, "dft_energy_ev_per_fu": -9.68}

=====

No. 18
{"formula": "Li3Ho2In4", "functional": "PBE-GGA", "state": "relaxed", "lattice_angstrom": [[-1.140, 3.902, -4.640], [-7.826, -1.695, 0.498], [-0.409, 4.148, 7.689]], "species": ["Li", "Li", "Li", "Li", "Li", "Li", "Ho", "Ho", "Ho", "Ho", "In", "In", "In", "In", "In", "In", "In", "In"], "fractional_positions": [[0.000, 0.000, 0.000], [0.500, 0.500, 0.000], [0.516, 0.750, 0.531], [0.984, 0.250, 0.469], [0.484, 0.250, 0.469], [0.016, 0.750, 0.531], [0.104, 0.597, 0.209], [0.896, 0.403, 0.791], [0.396, 0.097, 0.791], [0.604, 0.903, 0.209], [0.689, 0.750, 0.877], [0.811, 0.250, 0.123], [0.311, 0.250, 0.123], [0.189, 0.750, 0.877], [0.171, 0.981, 0.343], [0.829, 0.019, 0.657], [0.329, 0.481, 0.657], [0.671, 0.519, 0.343]], "n_ef_per_ev_cell": 12.4, "formation_enthalpy_0k_mev_per_atom": -317, "crystal_system": "orthorhombic", "mass_density_g_cm3": 6.640, "dft_energy_ev_per_fu": -28.71}

=====

No. 19
{"formula": "LiHo3In4", "functional": "PBE-GGA", "state": "relaxed", "lattice_angstrom": [[3.482, 0.000, 0.000], [0.000, 3.482, 0.000], [0.000, 0.000, 16.108]], "species": ["In", "In", "In", "In", "Ho", "Ho", "Ho", "Li"], "fractional_positions": [[0.000, 0.000, 0.903], [0.000, 0.000, 0.097], [0.000, 0.000, 0.365], [0.000, 0.000, 0.635], [0.500, 0.500, 0.232], [0.500, 0.500, 0.500], [0.500, 0.500, 0.768], [0.500, 0.500, 0.000]], "n_ef_per_ev_cell": 3.3, "formation_enthalpy_0k_mev_per_atom": -422, "crystal_system": "tetragonal", "mass_density_g_cm3": 8.169, "dft_energy_ev_per_fu": -29.98}

=====

No. 20
{"formula": "LiHoIn", "functional": "PBE-GGA", "state": "relaxed", "lattice_angstrom": [[-1.947, -1.726, -2.456], [2.762, 0.117, -2.271], [1.421, -4.065, 4.337]], "species": ["In", "Ho", "Li"], "fractional_positions": [[0.928, 0.928, 0.857], [0.614, 0.614, 0.228], [0.307, 0.307, 0.615]], "n_ef_per_ev_cell": 3.6, "formation_enthalpy_0k_mev_per_atom": -191, "crystal_system": "tetragonal", "mass_density_g_cm3": 6.685, "dft_energy_ev_per_fu": -9.80}

=====

No. 21
{"formula": "Li4HoIn", "functional": "PBE-GGA", "state": "relaxed", "lattice_angstrom": [[-0.643, 5.312, -1.231], [-4.206, 1.600, -3.146], [-4.148, 2.845, 2.201]], "species": ["Li", "Li", "Li", "Li", "Ho", "In"], "fractional_positions": [[0.626, 0.626, 0.123], [0.626, 0.123, 0.626], [0.626, 0.626, 0.626], [0.123, 0.626, 0.626], [0.250, 0.250, 0.250], [0.000, 0.000, 0.000]], "n_ef_per_ev_cell": 1.3, "formation_enthalpy_0k_mev_per_atom": -135, "crystal_system": "cubic", "mass_density_g_cm3": 4.362, "dft_energy_ev_per_fu": -15.78}

=====

No. 22
{"formula": "Li2Ho12In5", "functional": "PBE-GGA", "state": "relaxed", "lattice_angstrom": [[-6.957, 6.460, -0.596], [2.322, -3.885, 6.706], [5.607, 6.205, 1.813]], "species": ["Li", "Li", "Ho", "Ho", "Ho", "Ho", "Ho", "Ho", "Ho", "Ho", "Ho", "Ho", "Ho", "Ho", "In", "In", "In", "In", "In"], "fractional_positions": [[0.686, 0.000, 0.000], [0.314, 0.000, 0.000], [0.902, 0.803, 0.133], [0.029, 0.701, 0.782], [0.672, 0.701, 0.782], [0.189, 0.780, 0.387], [0.591, 0.780, 0.387], [0.420, 0.839, 0.727], [0.580, 0.161, 0.273], [0.811, 0.220, 0.613], [0.409, 0.220, 0.613], [0.971, 0.299, 0.218], [0.328, 0.299, 0.218], [0.098, 0.197, 0.867], [0.225, 0.450, 0.542], [0.335, 0.670, 0.070], [0.000, 0.000, 0.500], [0.665, 0.330, 0.930], [0.775, 0.550, 0.458]], "n_ef_per_ev_cell": 20.7, "formation_enthalpy_0k_mev_per_atom": -114, "crystal_system": "monoclinic", "mass_density_g_cm3": 8.003, "dft_energy_ev_per_fu": -74.63}

=====

No. 23
{"formula": "LiHoIn5", "functional": "PBE-GGA", "state": "relaxed", "lattice_angstrom": [[-1.432, -3.068, 3.073], [2.507, -3.227, -2.053], [6.305, 1.852, 4.788]], "species": ["Li", "Ho", "In", "In", "In", "In", "In"], "fractional_positions": [[0.500, 0.500, 0.000], [0.000, 0.000, 0.500], [0.000, 0.500, 0.798], [0.000, 0.500, 0.202], [0.500, 0.000, 0.798], [0.500, 0.000, 0.202], [0.500, 0.500, 0.500]], "n_ef_per_ev_cell": 4.3, "formation_enthalpy_0k_mev_per_atom": -214, "crystal_system": "tetragonal", "mass_density_g_cm3": 7.287, "dft_energy_ev_per_fu": -21.68}